Here is crystalline YErMnAl at its relaxed geometry from Alexandria via LeMat-Bulk. Energies are from PBE-GGA.

Calculated values
DFT total energy (eV per cell): -24.28
Calculated formation energy (kJ/mol of formula units): -33

extended XYZ file:
```
4
Lattice="5.065 0.000 0.000 2.533 4.387 0.000 2.533 1.462 4.136" Properties=species:S:1:pos:R:3 pbc="T T T"
Y 2.533 1.462 1.034
Mn 0.000 0.000 0.000
Al 5.065 2.924 2.068
Er 7.598 4.387 3.102
```

Here is crystalline ErZrMnAl at its relaxed geometry from Alexandria via LeMat-Bulk. Energies are from PBE-GGA.

Calculated values
DFT total energy (eV per cell): -26.23
Calculated formation energy (kJ/mol of formula units): -20

extended XYZ file:
```
4
Lattice="4.763 0.000 0.000 2.382 4.125 0.000 2.382 1.375 3.889" Properties=species:S:1:pos:R:3 pbc="T T T"
Mn 0.000 0.000 0.000
Al 4.763 2.750 1.945
Zr 7.145 4.125 2.917
Er 2.382 1.375 0.972
```

Here is crystalline Er6Al43Mo4 at its relaxed geometry from Alexandria via LeMat-Bulk. Energies are from PBE-GGA.

Calculated values
DFT total energy (eV per cell): -496.89
Calculated formation energy (kJ/mol of formula units): -1622

extended XYZ file:
```
106
Lattice="-10.561 0.085 3.069 7.797 -2.878 7.203 1.589 16.823 5.000" Properties=species:S:1:pos:R:3 pbc="T T T"
Er -0.521 8.532 8.429
Er 4.604 8.664 6.356
Er -4.009 10.055 4.417
Er -0.654 5.499 6.844
Er 4.782 5.281 5.847
Er -4.963 6.854 3.653
Er -1.145 0.293 5.296
Er 4.290 0.075 4.300
Er -5.454 1.648 2.106
Er -0.029 13.738 9.977
Er 5.096 13.870 7.904
Er -3.517 15.260 5.964
Al -5.781 10.775 6.797
Al -1.263 10.517 6.230
Al -3.116 9.491 10.269
Al 5.344 8.979 9.303
Al 1.630 10.050 6.881
Al 1.222 8.791 11.246
Al 4.607 3.256 8.476
Al 0.089 3.514 9.043
Al 1.942 4.540 5.004
Al -6.519 5.052 5.970
Al -2.805 3.981 8.392
Al -2.397 5.240 4.027
Al 4.332 0.348 7.611
Al -0.186 0.606 8.179
Al 1.667 1.632 4.140
Al -6.794 2.144 5.106
Al -3.080 1.073 7.527
Al -2.672 2.332 3.162
Al -5.507 13.683 7.662
Al -0.989 13.425 7.094
Al -2.842 12.399 11.133
Al 5.619 11.887 10.167
Al 1.905 12.958 7.746
Al 1.497 11.699 12.111
Al -0.258 1.487 2.210
Al 6.738 -0.488 6.631
Al -8.697 2.003 3.155
Al -0.917 12.544 13.064
Al 2.648 14.434 5.573
Al -0.274 14.905 4.915
Al -1.347 7.995 11.712
Al 2.218 9.885 4.221
Al -0.704 10.357 3.563
Al 0.172 6.036 3.561
Al 7.168 4.061 7.983
Al -8.268 6.552 4.507
Al 0.141 8.217 5.265
Al 6.658 6.781 8.025
Al -7.033 8.991 4.942
Al -1.315 5.814 10.008
Al 2.728 7.165 4.178
Al -1.939 7.918 3.127
Al -2.013 -1.567 7.814
Al 2.031 -0.216 1.984
Al -2.636 0.537 0.933
Al 0.838 15.598 7.459
Al 7.355 14.162 10.219
Al -6.336 16.372 7.136
Al -3.489 12.242 6.502
Al -1.599 11.378 8.806
Al -4.661 11.525 9.285
Al 3.942 11.042 8.176
Al 1.099 10.943 9.414
Al 3.568 10.197 11.138
Al 2.315 1.789 8.771
Al 0.424 2.653 6.467
Al 3.486 2.506 5.988
Al -5.117 2.989 7.098
Al -2.273 3.088 5.859
Al -4.743 3.834 4.135
Al -5.241 7.767 6.589
Al -2.490 7.744 5.789
Al -3.210 7.017 8.465
Al 4.067 6.264 8.685
Al 2.035 7.014 6.808
Al 1.315 6.287 9.484
Al 3.272 -2.147 6.184
Al 0.521 -2.125 6.984
Al 1.241 -1.398 4.308
Al -6.036 -0.645 4.088
Al -4.005 -1.395 5.965
Al -3.284 -0.667 3.289
Al -3.447 9.621 7.575
Al 2.672 8.633 8.953
Al 2.273 4.410 7.698
Al -3.846 5.397 6.320
Al 1.877 0.222 6.453
Al -4.242 1.210 5.075
Al -3.052 13.809 8.820
Al 3.068 12.821 10.198
Al 0.785 12.206 5.264
Al 7.840 10.164 9.892
Al -7.813 12.690 6.367
Al -1.959 1.825 10.009
Al 1.546 3.782 2.312
Al -1.159 4.218 1.702
Mo -0.823 10.582 11.238
Mo 3.306 11.837 5.703
Mo -1.671 12.641 4.582
Mo -0.352 3.449 4.035
Mo 6.081 2.108 6.501
Mo -7.301 4.268 3.487
Mo 0.795 8.412 2.500
Mo 0.000 0.000 0.000
```

Here is crystalline Er2AlMo3 at its relaxed geometry from Alexandria via LeMat-Bulk. Energies are from PBE-GGA.

Calculated values
DFT total energy (eV per cell): -46.11
Calculated formation energy (kJ/mol of formula units): -72

extended XYZ file:
```
6
Lattice="-1.514 -1.884 -4.798 4.662 2.619 0.517 1.626 -3.661 3.928" Properties=species:S:1:pos:R:3 pbc="T T T"
Er 0.827 -0.912 -2.910
Er 3.947 -2.013 2.557
Al 0.000 0.000 0.000
Mo 2.387 -1.463 -0.177
Mo 0.813 -1.830 1.964
Mo 0.056 -2.772 -0.435
```

Here is crystalline ErAl4Mo at its relaxed geometry from Alexandria via LeMat-Bulk. Energies are from PBE-GGA.

Calculated values
DFT total energy (eV per cell): -31.87
Calculated formation energy (kJ/mol of formula units): -145

extended XYZ file:
```
6
Lattice="5.258 0.000 0.000 2.629 4.553 0.000 2.629 1.518 4.293" Properties=species:S:1:pos:R:3 pbc="T T T"
Mo 0.000 0.000 0.000
Al 5.258 3.036 0.536
Al 5.258 1.517 2.683
Al 6.573 3.795 2.683
Al 3.943 3.795 2.683
Er 2.629 1.518 1.073
```

Here is crystalline ErAlMo at its relaxed geometry from Alexandria via LeMat-Bulk. Energies are from PBE-GGA.

Calculated values
DFT total energy (eV per cell): -39.99
Relative energy among the computed polymorphs (meV/atom): 0
Calculated formation energy (kJ/mol of formula units): -83

extended XYZ file:
```
6
Lattice="-4.681 2.510 -0.631 -4.405 -2.917 -1.595 -4.050 -0.944 3.627" Properties=species:S:1:pos:R:3 pbc="T T T"
Er -7.241 0.791 0.193
Er -5.895 -2.142 1.210
Al -4.543 -0.204 -1.113
Al -4.366 0.783 1.498
Mo 0.000 0.000 0.000
Mo -2.341 1.255 -0.315
```

Here is crystalline ErAlMo at its relaxed geometry from Alexandria via LeMat-Bulk. Energies are from PBE-GGA.

Calculated values
DFT total energy (eV per cell): -74.81
Relative energy among the computed polymorphs (meV/atom): 432
Calculated formation energy (kJ/mol of formula units): 42

extended XYZ file:
```
12
Lattice="5.328 0.000 0.000 2.664 4.907 0.000 2.664 0.000 9.777" Properties=species:S:1:pos:R:3 pbc="T T T"
Al 3.996 2.454 6.769
Al 3.996 2.454 3.008
Al 5.328 0.000 7.896
Al 2.664 0.000 1.881
Mo 6.661 2.454 7.363
Mo 6.661 2.454 2.414
Mo 2.664 0.000 7.302
Mo 5.328 0.000 2.475
Er 6.661 0.910 4.889
Er 6.661 3.997 4.889
Er 5.328 1.543 0.000
Er 2.664 3.364 0.000
```

Here is crystalline Er2AlN at its relaxed geometry from Alexandria via LeMat-Bulk. Energies are from PBE-GGA.

Calculated values
DFT total energy (eV per cell): -25.06
E_form (uncorrected) (eV per atom): -0.97

extended XYZ file:
```
4
Lattice="3.457 0.000 0.000 1.728 2.994 0.000 1.728 0.998 7.546" Properties=species:S:1:pos:R:3 pbc="T T T"
N 3.457 1.996 3.773
Al 0.000 0.000 0.000
Er 5.185 2.994 5.117
Er 1.728 0.998 2.429
```

Here is crystalline ErAlN2 at its relaxed geometry from Alexandria via LeMat-Bulk. Energies are from PBE-GGA.

Calculated values
DFT total energy (eV per cell): -28.67
E_form (uncorrected) (eV per atom): -0.93

extended XYZ file:
```
4
Lattice="-0.557 -0.289 -3.542 2.458 -1.600 -2.082 -1.977 -5.717 -1.049" Properties=species:S:1:pos:R:3 pbc="T T T"
N -1.193 -4.189 -1.297
N 1.118 -3.417 -5.376
Al 0.000 0.000 0.000
Er -0.038 -3.803 -3.336
```

Here is crystalline ErAlN at its relaxed geometry from Alexandria via LeMat-Bulk. Energies are from PBE-GGA.

Calculated values
DFT total energy (eV per cell): -37.19
E_form (uncorrected) (eV per atom): -0.65

extended XYZ file:
```
6
Lattice="3.496 0.000 0.000 0.000 3.496 0.000 0.000 0.000 8.398" Properties=species:S:1:pos:R:3 pbc="T T T"
Al 0.000 0.000 0.000
Al 1.748 1.748 0.000
Er 0.000 1.748 5.381
Er 1.748 0.000 3.017
N 0.000 1.748 3.136
N 1.748 0.000 5.262
```

Here is crystalline Er4Al2N at its relaxed geometry from Alexandria via LeMat-Bulk. Energies are from PBE-GGA.

Calculated values
DFT total energy (eV per cell): -38.56
E_form (uncorrected) (eV per atom): -0.64

extended XYZ file:
```
7
Lattice="-4.377 -0.292 1.537 1.535 -1.681 4.053 1.917 8.093 -0.036" Properties=species:S:1:pos:R:3 pbc="T T T"
N 0.000 0.000 0.000
Al -1.288 0.921 3.536
Al 0.363 5.200 2.019
Er -1.088 3.788 4.649
Er 0.163 2.333 0.906
Er 0.768 -0.840 2.027
Er -2.189 -0.146 0.769
```

Here is crystalline Er3AlN at its relaxed geometry from Alexandria via LeMat-Bulk. Energies are from PBE-GGA.

Calculated values
DFT total energy (eV per cell): -30.48
E_form (uncorrected) (eV per atom): -0.94

extended XYZ file:
```
5
Lattice="4.718 0.000 0.000 0.000 4.718 0.000 0.000 0.000 4.718" Properties=species:S:1:pos:R:3 pbc="T T T"
Er 2.359 2.359 0.000
Er 2.359 0.000 2.359
Er 0.000 2.359 2.359
Al 0.000 0.000 0.000
N 2.359 2.359 2.359
```

Here is crystalline PmEr2AlN at its relaxed geometry from Alexandria via LeMat-Bulk. Energies are from PBE-GGA.

Calculated values
DFT total energy (eV per cell): -30.36
E_form (uncorrected) (eV per atom): -0.88

extended XYZ file:
```
5
Lattice="-3.351 1.933 -3.071 -3.147 -3.247 1.389 -1.475 2.899 3.435" Properties=species:S:1:pos:R:3 pbc="T T T"
Pm -1.675 0.967 -1.535
Er -0.738 1.450 1.717
Er -1.573 -1.624 0.695
Al -3.986 0.793 0.877
N 0.000 0.000 0.000
```

Here is crystalline TbEr2AlN at its relaxed geometry from Alexandria via LeMat-Bulk. Energies are from PBE-GGA.

Calculated values
DFT total energy (eV per cell): -30.47
E_form (uncorrected) (eV per atom): -0.93

extended XYZ file:
```
5
Lattice="-0.100 4.154 -2.405 0.894 -2.306 -4.021 -4.634 -0.531 -0.725" Properties=species:S:1:pos:R:3 pbc="T T T"
Tb -0.050 2.077 -1.202
Er -2.317 -0.266 -0.363
Er 0.447 -1.153 -2.011
Al -1.920 0.659 -3.576
N 0.000 0.000 0.000
```

Here is crystalline Y2ErAlN at its relaxed geometry from Alexandria via LeMat-Bulk. Energies are from PBE-GGA.

Calculated values
DFT total energy (eV per cell): -34.24
E_form (uncorrected) (eV per atom): -0.94

extended XYZ file:
```
5
Lattice="-3.754 0.163 -2.862 2.888 -0.280 -3.804 -0.300 -4.773 0.123" Properties=species:S:1:pos:R:3 pbc="T T T"
Y -0.150 -2.387 0.061
Y 1.444 -0.140 -1.902
Er -1.877 0.081 -1.431
Al -0.583 -2.445 -3.272
N 0.000 0.000 0.000
```

Here is crystalline NaErAl4 at its relaxed geometry from Alexandria via LeMat-Bulk. Energies are from PBE-GGA.

Calculated values
DFT total energy (eV per cell): -22.08
Calculated formation energy (kJ/mol of formula units): -118

extended XYZ file:
```
6
Lattice="5.557 0.000 0.000 2.779 4.813 0.000 2.779 1.604 4.537" Properties=species:S:1:pos:R:3 pbc="T T T"
Na 2.779 1.604 1.134
Al 5.557 3.208 0.558
Al 5.557 1.596 2.839
Al 6.954 4.015 2.839
Al 4.161 4.015 2.839
Er 0.000 0.000 0.000
```

Here is crystalline Na4Er3AlO8 at its relaxed geometry from Alexandria via LeMat-Bulk. Energies are from PBE-GGA.

Calculated values
DFT total energy (eV per cell): -105.15
E_form (uncorrected) (eV per atom): -2.67

extended XYZ file:
```
16
Lattice="6.559 0.000 0.000 0.000 6.708 0.099 -3.279 -3.275 4.641" Properties=species:S:1:pos:R:3 pbc="T T T"
Na 3.279 0.000 0.000
Na 1.640 -1.638 2.320
Na 0.000 0.000 0.000
Na -1.640 -1.638 2.320
Er 3.279 3.354 0.049
Er 1.640 1.716 2.370
Er -1.640 1.716 2.370
Al 0.000 3.354 0.049
O -1.771 1.493 4.622
O 0.000 3.262 2.115
O 0.000 0.211 2.466
O 1.771 1.493 4.622
O 1.508 1.939 0.117
O 3.279 3.222 2.274
O 3.279 0.171 2.624
O 5.050 1.939 0.117
```

Here is crystalline Na3Er3AlO8 at its relaxed geometry from Alexandria via LeMat-Bulk. Energies are from PBE-GGA.

Calculated values
DFT total energy (eV per cell): -100.89
E_form (uncorrected) (eV per atom): -2.66

extended XYZ file:
```
15
Lattice="-5.284 3.851 -0.832 -0.766 -6.449 1.126 2.121 3.984 4.966" Properties=species:S:1:pos:R:3 pbc="T T T"
Na 0.000 0.000 0.000
Na -0.383 -3.225 0.563
Na -3.025 -1.299 0.147
Er -1.581 3.918 2.067
Er -1.965 0.693 2.630
Er 0.678 -1.232 3.046
Al 1.061 1.992 2.483
O -1.180 -1.227 1.812
O -2.749 2.613 3.448
O -3.950 0.551 1.528
O 0.021 0.835 3.732
O -3.525 4.131 0.903
O -0.405 -2.745 4.357
O -0.591 1.993 1.365
O -3.338 -0.607 3.895
```

Here is crystalline NaPrErAl at its relaxed geometry from Alexandria via LeMat-Bulk. Energies are from PBE-GGA.

Calculated values
DFT total energy (eV per cell): -14.56
Calculated formation energy (kJ/mol of formula units): -15

extended XYZ file:
```
4
Lattice="5.363 0.000 0.000 2.681 4.644 0.000 2.681 1.548 4.379" Properties=species:S:1:pos:R:3 pbc="T T T"
Pr 8.044 4.644 3.284
Na 0.000 0.000 0.000
Al 5.363 3.096 2.189
Er 2.681 1.548 1.095
```

Here is crystalline Na2ErAlS4 at its relaxed geometry from Alexandria via LeMat-Bulk. Energies are from PBE-GGA.

Calculated values
DFT total energy (eV per cell): -77.97
E_form (uncorrected) (eV per atom): -1.44

extended XYZ file:
```
16
Lattice="-4.455 -5.501 3.083 5.935 -4.930 -0.304 0.760 7.040 3.520" Properties=species:S:1:pos:R:3 pbc="T T T"
Na -2.228 -2.751 1.542
Na -1.847 0.769 3.301
Na 0.380 3.520 1.760
Na 0.740 -5.215 1.389
Er 2.967 -2.465 -0.152
Er -1.107 -4.446 4.691
Al 1.120 -1.696 3.149
Al -3.695 1.539 6.603
S 4.263 1.999 3.962
S -1.283 -1.851 3.979
S 3.523 -1.540 2.320
S -2.023 -5.391 2.337
S 1.815 -1.059 5.475
S 1.494 -4.030 3.990
S 0.746 0.639 2.309
S 0.426 -2.332 0.824
```